The following is a DFT calculation (PBE with a Hubbard U) of an optimized crystal structure of BiMoF2.

polymorph energy (0 for the lowest one)	378	meV/atom
DFT total energy	-4.262	eV per atom
Fermi-level density of states	0.54	states/eV/f.u.
symmetry	No. 225

abc: 4.657 4.657 4.657
angles: 60.00 60.00 60.00
Positions (direct):
Mo  0.000  0.000  0.000
Bi  0.500  0.500  0.500
F  0.250  0.250  0.250
F  0.750  0.750  0.750